The following is a DFT calculation (PBE-GGA) of a geometry-optimized KHg2P2 structure.

The structure in extended XYZ format:
```
5
Lattice="5.7939 -1.6899 0.0000 5.7939 1.6899 0.0000 -0.0275 0.0000 7.4039" Properties=species:S:1:pos:R:3 pbc="T T T"
K 0.0000 0.0000 0.0000
Hg 4.2199 0.0000 2.7800
Hg 7.2829 0.0000 2.8112
P 3.5649 0.0000 5.5684
P 7.9746 0.0000 5.5782
```

energy relative to the lowest polymorph listed for this composition: 54 meV per atom

---

The following is a DFT calculation (PBE-GGA) of a geometry-optimized K2HgP structure.

The structure in extended XYZ format:
```
4
Lattice="0.0000 3.9934 3.9934 3.9934 0.0000 3.9934 3.9934 3.9934 0.0000" Properties=species:S:1:pos:R:3 pbc="T T T"
K 1.9967 1.9967 1.9967
K 5.9900 5.9900 5.9900
Hg 0.0000 0.0000 0.0000
P 3.9934 3.9934 3.9934
```

energy relative to the lowest polymorph listed for this composition: 124 meV per atom

---

The following is a DFT calculation (PBE-GGA) of a geometry-optimized KHgP2 structure.

The structure in extended XYZ format:
```
4
Lattice="6.0668 -1.6773 0.0000 6.0668 1.6773 0.0000 -2.8326 0.0000 5.1371" Properties=species:S:1:pos:R:3 pbc="T T T"
K 0.0000 0.0000 0.0000
Hg 8.8759 0.0000 1.5570
P 0.5041 0.0000 3.6346
P 5.3447 0.0000 2.9492
```

total energy: -3.22 eV/atom

---

The following is a DFT calculation (PBE-GGA) of a geometry-optimized KHgP2 structure.

The structure in extended XYZ format:
```
8
Lattice="-2.4176 2.4176 9.5105 2.4176 -2.4176 9.5105 2.4176 2.4176 -9.5105" Properties=species:S:1:pos:R:3 pbc="T T T"
K 0.0000 0.0000 0.0000
K 0.0000 2.4176 4.7552
Hg 2.4176 0.0000 4.7552
Hg 0.0000 0.0000 9.5105
P 1.2088 -0.0077 7.1329
P 2.4099 1.2088 2.3776
P 1.2088 2.4253 -2.3776
P 0.0077 1.2088 11.8881
```

total energy: -2.93 eV/atom

---

The following is a DFT calculation (PBE-GGA) of a geometry-optimized KHgP2 structure.

The structure in extended XYZ format:
```
4
Lattice="5.3497 -1.6857 0.0000 5.3497 1.6857 0.0000 -1.3834 0.0000 6.0679" Properties=species:S:1:pos:R:3 pbc="T T T"
K 0.0000 0.0000 0.0000
Hg 4.6580 0.0000 3.0339
P 1.9730 0.0000 3.7700
P 7.3431 0.0000 2.2979
```

total energy: -3.12 eV/atom

---

The following is a DFT calculation (PBE-GGA) of a geometry-optimized KHg2P2 structure.

The structure in extended XYZ format:
```
10
Lattice="6.5914 0.0000 0.0000 1.4962 7.0061 0.0000 1.4890 2.5574 6.5253" Properties=species:S:1:pos:R:3 pbc="T T T"
K 0.0000 0.0000 0.0000
K 4.7883 4.7818 3.2627
Hg 1.4827 3.9041 1.7595
Hg 3.3002 1.7289 0.2706
Hg 6.2763 7.8346 6.2547
Hg 8.0939 5.6594 4.7658
P 3.0602 7.6391 2.9764
P 3.2198 1.7763 3.7621
P 6.3568 7.7872 2.7632
P 6.5163 1.9245 3.5489
```

energy relative to the lowest polymorph listed for this composition: 0 meV per atom

---

The following is a DFT calculation (PBE-GGA) of a geometry-optimized KHgP2 structure.

The structure in extended XYZ format:
```
4
Lattice="-2.2407 2.2407 4.4534 2.2407 -2.2407 4.4534 2.2407 2.2407 -4.4534" Properties=species:S:1:pos:R:3 pbc="T T T"
K 0.0000 0.0000 0.0000
Hg 0.0000 2.2407 2.2267
P 2.2407 0.0000 2.2267
P 0.0000 0.0000 4.4534
```

total energy: -2.54 eV/atom

---

The following is a DFT calculation (PBE-GGA) of a geometry-optimized KHgP2 structure.

The structure in extended XYZ format:
```
4
Lattice="5.8779 0.0000 0.0000 0.0000 2.7292 0.0000 -2.3563 0.0000 5.4419" Properties=species:S:1:pos:R:3 pbc="T T T"
K 0.0000 0.0000 0.0000
Hg 1.7608 0.0000 2.7209
P -1.1781 1.3646 2.7209
P 2.9389 1.3646 0.0000
```

total energy: -2.62 eV/atom

---

The following is a DFT calculation (PBE-GGA) of a geometry-optimized KHgP2 structure.

The structure in extended XYZ format:
```
4
Lattice="4.4722 0.0000 0.0000 0.0000 4.4722 0.0000 0.0000 0.0000 4.4127" Properties=species:S:1:pos:R:3 pbc="T T T"
K 0.0000 0.0000 0.0000
Hg 2.2361 2.2361 0.0000
P 0.0000 2.2361 2.2064
P 2.2361 0.0000 2.2064
```

total energy: -2.57 eV/atom

---

The following is a DFT calculation (PBE-GGA) of a geometry-optimized K3HgP structure.

The structure in extended XYZ format:
```
10
Lattice="5.2631 0.0000 0.0000 0.0000 8.9974 0.0000 0.0000 0.0000 7.6458" Properties=species:S:1:pos:R:3 pbc="T T T"
K 1.3158 0.3278 1.5942
K 1.3158 2.2493 6.0107
K 1.3158 4.1709 1.5942
K 3.9473 4.8265 6.0516
K 3.9473 6.7480 1.6350
K 3.9473 8.6695 6.0516
Hg 1.3158 6.7480 4.4490
Hg 3.9473 2.2493 3.1967
P 1.3158 6.7480 7.0302
P 3.9473 2.2493 0.6156
```

energy relative to the lowest polymorph listed for this composition: 0 meV per atom

---

The following is a DFT calculation (PBE-GGA) of a geometry-optimized KHgP2 structure.

The structure in extended XYZ format:
```
4
Lattice="3.3241 0.0000 0.0000 0.0000 3.3241 0.0000 0.0000 0.0000 8.2178" Properties=species:S:1:pos:R:3 pbc="T T T"
K 0.0000 0.0000 0.0000
Hg 1.6621 1.6621 5.6201
P 0.0000 0.0000 3.1947
P 1.6621 1.6621 2.4477
```

total energy: -3.07 eV/atom

---

The following is a DFT calculation (PBE-GGA) of a geometry-optimized K3HgP structure.

The structure in extended XYZ format:
```
5
Lattice="6.2939 0.0000 0.0000 0.0000 6.2939 0.0000 0.0000 0.0000 6.2939" Properties=species:S:1:pos:R:3 pbc="T T T"
K 0.0000 0.0000 3.1470
K 0.0000 3.1470 0.0000
K 3.1470 0.0000 0.0000
Hg 3.1470 3.1470 3.1470
P 0.0000 0.0000 0.0000
```

energy relative to the lowest polymorph listed for this composition: 130 meV per atom

---

The following is a DFT calculation (PBE-GGA) of a geometry-optimized K2HgP structure.

The structure in extended XYZ format:
```
4
Lattice="4.5142 0.0000 0.0000 0.0000 4.5142 0.0000 0.0000 0.0000 6.7962" Properties=species:S:1:pos:R:3 pbc="T T T"
K 0.0000 0.0000 0.0000
K 2.2571 2.2571 2.4928
Hg 2.2571 2.2571 5.6180
P 0.0000 0.0000 3.5348
```

energy relative to the lowest polymorph listed for this composition: 258 meV per atom

---

The following is a DFT calculation (PBE-GGA) of a geometry-optimized KHg2P2 structure.

The structure in extended XYZ format:
```
5
Lattice="3.3885 0.0000 0.0000 -1.6873 6.1862 0.0000 -1.6722 -1.4424 6.6504" Properties=species:S:1:pos:R:3 pbc="T T T"
K 0.0000 0.0000 0.0000
Hg -1.6651 3.9650 3.5156
Hg 1.6942 0.7788 3.1347
P 0.0034 3.3848 0.6234
P 0.0257 1.3590 6.0270
```

energy relative to the lowest polymorph listed for this composition: 53 meV per atom

---

The following is a DFT calculation (PBE-GGA) of a geometry-optimized K4HgP structure.

The structure in extended XYZ format:
```
6
Lattice="0.0000 4.8565 4.8565 4.8565 0.0000 4.8565 4.8565 4.8565 0.0000" Properties=species:S:1:pos:R:3 pbc="T T T"
K 1.1976 1.1976 1.1976
K 3.6589 3.6589 1.1976
K 3.6589 1.1976 3.6589
K 1.1976 3.6589 3.6589
Hg 4.8565 4.8565 4.8565
P 7.2847 7.2847 7.2847
```

total energy: -1.39 eV/atom

---

The following is a DFT calculation (PBE-GGA) of a geometry-optimized KHg2P2 structure.

The structure in extended XYZ format:
```
10
Lattice="5.0843 0.0000 0.0000 2.3182 5.8138 0.0000 1.3096 1.0854 10.0474" Properties=species:S:1:pos:R:3 pbc="T T T"
K 0.0000 0.0000 0.0000
K 5.0979 5.8163 6.2571
Hg 2.5187 5.0955 3.5730
Hg 2.5152 1.6413 2.3552
Hg 5.0081 3.7696 2.0577
Hg 5.3388 2.2843 4.9128
P 2.8416 3.3865 6.4123
P 3.7540 2.6841 8.3451
P 5.2817 4.1109 9.1588
P 7.2912 4.3145 8.3397
```

energy relative to the lowest polymorph listed for this composition: 24 meV per atom

---

The following is a DFT calculation (PBE-GGA) of a geometry-optimized K2HgP structure.

The structure in extended XYZ format:
```
8
Lattice="-2.5771 2.5771 10.6848 2.5771 -2.5771 10.6848 2.5771 2.5771 -10.6848" Properties=species:S:1:pos:R:3 pbc="T T T"
K 3.8656 1.1769 -2.6712
K 1.1769 1.2885 2.6712
K -1.2885 1.4002 8.0136
K 1.4002 1.2885 13.3560
Hg 2.5771 0.0000 5.3424
Hg 0.0000 0.0000 10.6848
P 0.0000 0.0000 0.0000
P 0.0000 2.5771 5.3424
```

energy relative to the lowest polymorph listed for this composition: 389 meV per atom

---

The following is a DFT calculation (PBE-GGA) of a geometry-optimized KHg2P2 structure.

The structure in extended XYZ format:
```
10
Lattice="5.2357 0.0000 0.0000 2.0282 5.8790 0.0000 1.8145 0.8634 9.6412" Properties=species:S:1:pos:R:3 pbc="T T T"
K 0.0000 0.0000 0.0000
K 5.1807 5.1110 6.0035
Hg 2.5883 4.5889 3.6108
Hg 2.7622 1.0935 2.6608
Hg 5.2134 3.2100 2.5173
Hg 5.9352 1.6099 5.3587
P 3.4465 2.4196 7.0603
P 4.1661 3.1649 9.0056
P 6.1182 4.1035 9.3436
P 7.7607 4.2840 7.8253
```

energy relative to the lowest polymorph listed for this composition: 31 meV per atom

---

The following is a DFT calculation (PBE-GGA) of a geometry-optimized KHgP2 structure.

The structure in extended XYZ format:
```
4
Lattice="3.8990 0.0000 0.0000 0.0000 3.9168 0.0000 0.0000 0.0000 6.6604" Properties=species:S:1:pos:R:3 pbc="T T T"
K 0.0000 0.0000 0.0000
Hg 0.0000 0.0000 3.3302
P 1.9495 1.9584 2.2682
P 1.9495 1.9584 4.3923
```

total energy: -2.95 eV/atom

---

The following is a DFT calculation (PBE-GGA) of a geometry-optimized KHgP2 structure.

The structure in extended XYZ format:
```
4
Lattice="3.3589 0.0000 0.0000 0.0000 6.0202 0.0000 -0.2122 0.0000 6.5517" Properties=species:S:1:pos:R:3 pbc="T T T"
K 0.0000 0.0000 0.0000
Hg 1.5734 0.0000 3.2758
P 0.8445 3.0101 0.7044
P 2.3023 3.0101 5.8473
```

total energy: -3.13 eV/atom

---

The following is a DFT calculation (PBE-GGA) of a geometry-optimized K2HgP structure.

The structure in extended XYZ format:
```
4
Lattice="5.8718 -2.1843 0.0000 5.8718 2.1843 0.0000 -2.6047 0.0000 4.9360" Properties=species:S:1:pos:R:3 pbc="T T T"
K 0.0000 0.0000 0.0000
K 0.4288 0.0000 3.4187
Hg 8.5465 0.0000 1.3284
P 3.7436 0.0000 2.2386
```

energy relative to the lowest polymorph listed for this composition: 8 meV per atom

---

The following is a DFT calculation (PBE-GGA) of a geometry-optimized K2HgP structure.

The structure in extended XYZ format:
```
4
Lattice="0.0000 3.8442 3.8442 3.8442 0.0000 3.8442 3.8442 3.8442 0.0000" Properties=species:S:1:pos:R:3 pbc="T T T"
K 0.0000 0.0000 0.0000
K 1.9221 1.9221 1.9221
Hg 3.8442 3.8442 3.8442
P 5.7663 5.7663 5.7663
```

energy relative to the lowest polymorph listed for this composition: 125 meV per atom

---

The following is a DFT calculation (PBE-GGA) of a geometry-optimized KHg2P2 structure.

The structure in extended XYZ format:
```
5
Lattice="-2.3650 2.3650 6.1349 2.3650 -2.3650 6.1349 2.3650 2.3650 -6.1349" Properties=species:S:1:pos:R:3 pbc="T T T"
K 0.0000 0.0000 0.0000
Hg 2.3650 0.0000 3.0675
Hg 0.0000 2.3650 3.0675
P 0.0000 0.0000 5.1201
P 0.0000 0.0000 7.1497
```

energy relative to the lowest polymorph listed for this composition: 145 meV per atom

---

The following is a DFT calculation (PBE-GGA) of a geometry-optimized K2HgP structure.

The structure in extended XYZ format:
```
4
Lattice="2.2376 1.2919 9.0783 -2.2376 1.2919 9.0783 0.0000 -2.5837 9.0783" Properties=species:S:1:pos:R:3 pbc="T T T"
K 0.0000 0.0000 0.0000
K 0.0000 0.0000 4.9949
Hg 0.0000 0.0000 11.5749
P 0.0000 0.0000 20.6692
```

energy relative to the lowest polymorph listed for this composition: 0 meV per atom

---

The following is a DFT calculation (PBE-GGA) of a geometry-optimized KHg2P2 structure.

The structure in extended XYZ format:
```
5
Lattice="-2.3582 2.3582 5.5419 2.3582 -2.3582 5.5419 2.3582 2.3582 -5.5419" Properties=species:S:1:pos:R:3 pbc="T T T"
K 0.0000 0.0000 0.0000
Hg 0.0000 0.0000 4.1300
Hg 0.0000 0.0000 6.9538
P 2.3582 0.0000 2.7709
P 0.0000 2.3582 2.7709
```

energy relative to the lowest polymorph listed for this composition: 314 meV per atom

---

The following is a DFT calculation (PBE-GGA) of a geometry-optimized KHgP4 structure.

The structure in extended XYZ format:
```
6
Lattice="0.0000 4.2917 4.2917 4.2917 0.0000 4.2917 4.2917 4.2917 0.0000" Properties=species:S:1:pos:R:3 pbc="T T T"
K 0.0000 0.0000 0.0000
Hg 2.1458 2.1458 2.1458
P 5.0902 3.4931 3.4931
P 3.4931 5.0902 3.4931
P 3.4931 3.4931 5.0902
P 5.0902 5.0902 5.0902
```

total energy: -3.82 eV/atom

---

The following is a DFT calculation (PBE-GGA) of a geometry-optimized K2HgP structure.

The structure in extended XYZ format:
```
4
Lattice="3.7525 0.0000 0.0000 0.0000 3.7525 0.0000 0.0000 0.0000 9.2031" Properties=species:S:1:pos:R:3 pbc="T T T"
K 0.0000 0.0000 1.8879
K 0.0000 0.0000 7.3152
Hg 1.8763 1.8763 4.6015
P 1.8763 1.8763 0.0000
```

energy relative to the lowest polymorph listed for this composition: 126 meV per atom

---

The following is a DFT calculation (PBE-GGA) of a geometry-optimized KHgP2 structure.

The structure in extended XYZ format:
```
4
Lattice="2.0864 1.2046 6.9017 -2.0864 1.2046 6.9017 0.0000 -2.4091 6.9017" Properties=species:S:1:pos:R:3 pbc="T T T"
K 0.0000 0.0000 0.0000
Hg 0.0000 0.0000 10.3525
P 0.0000 0.0000 4.6025
P 0.0000 0.0000 16.1025
```

total energy: -2.69 eV/atom